No. 1
# AgOsPt (GGA-PBE, optimized geometry)
# * E: -38.09 eV/cell
data_AgOsPt
_cell_length_a 2.761
_cell_length_b 2.761
_cell_length_c 12.501
_cell_angle_alpha 90.00
_cell_angle_beta 90.00
_cell_angle_gamma 90.00
_space_group_name_H-M_alt 'I 4 m m'
_space_group_IT_number 107
_space_group_name_Hall 'I 4 -2'
loop_
_atom_site_label
_atom_site_type_symbol
_atom_site_fract_x
_atom_site_fract_y
_atom_site_fract_z
_atom_site_occupancy
Ag1 Ag 0.000 0.000 0.000 1
Os1 Os 0.000 0.000 0.675 1
Pt1 Pt 0.000 0.000 0.321 1



No. 2
# AgOsPt (GGA-PBE, optimized geometry)
# * E: -37.09 eV/cell
data_AgOsPt
_cell_length_a 2.731
_cell_length_b 3.979
_cell_length_c 8.737
_cell_angle_alpha 90.00
_cell_angle_beta 90.00
_cell_angle_gamma 90.00
_space_group_name_H-M_alt 'I m m 2'
_space_group_IT_number 44
_space_group_name_Hall 'I 2 -2'
loop_
_atom_site_label
_atom_site_type_symbol
_atom_site_fract_x
_atom_site_fract_y
_atom_site_fract_z
_atom_site_occupancy
Ag1 Ag 0.000 0.000 0.000 1
Os1 Os 0.000 0.000 0.676 1
Pt1 Pt 0.000 0.000 0.321 1



No. 3
# AgOsPt2 (GGA-PBE, optimized geometry)
# * E: -92.70 eV/cell
data_AgOsPt2
_cell_length_a 7.185
_cell_length_b 7.185
_cell_length_c 5.458
_cell_angle_alpha 90.00
_cell_angle_beta 90.00
_cell_angle_gamma 90.00
_space_group_name_H-M_alt 'I -4 2 d'
_space_group_IT_number 122
_space_group_name_Hall 'I -4 2bw'
loop_
_atom_site_label
_atom_site_type_symbol
_atom_site_fract_x
_atom_site_fract_y
_atom_site_fract_z
_atom_site_occupancy
Ag1 Ag 0.000 0.000 0.000 1
Os1 Os 0.000 0.000 0.500 1
Pt1 Pt 0.225 0.250 0.625 1